Entry from OQMD via LeMat-Bulk: a relaxed structure of ScReTc2 (GGA-PBE).

Cell and atoms, written as POSCAR:
```
ScReTc2
1.0
-0.8137 -5.3499 -0.0708
0.4349 -0.0059 -4.5518
10.1099 -1.5504 0.9679
Re Tc Sc
4 8 4
Cartesian
5.7736 -1.7479 -0.5944
0.5727 -1.9323 -1.0911
3.9575 -5.1583 -3.0602
9.1584 -4.9739 -2.5635
2.8639 -3.1380 -0.8706
1.6429 -3.1193 -3.2840
8.3188 -1.2838 -0.3519
6.3432 -6.2263 -2.8309
8.0882 -3.7869 -0.3707
3.3879 -0.6799 -0.8238
1.4124 -5.6224 -3.3028
6.8672 -3.7682 -2.7840
4.4437 -2.4818 -3.0172
9.6405 -2.3243 -2.5209
5.2875 -4.4245 -0.6374
0.0907 -4.5820 -1.1337
```

## Properties
SG	Pnma (62)
calculated formation energy	0.037	eV per atom


Entry from OQMD via LeMat-Bulk: a relaxed structure of ScReTc2 (GGA-PBE).

Cell and atoms, written as POSCAR:
```
ScReTc2
1.0
-0.8602 3.3143 2.8399
-2.6776 -2.6865 2.3243
2.4155 -0.8830 1.7621
Re Tc Sc
1 2 1
Cartesian
0.0000 0.0000 0.0000
-0.1311 -1.7847 2.0432
0.7777 1.2157 2.3010
-1.7689 0.3139 2.5821
```

## Properties
SG	P4/mmm (123)
calculated formation energy	-0.129	eV per atom


Entry from OQMD via LeMat-Bulk: a relaxed structure of Sc2Re2Te (GGA-PBE).

Cell and atoms, written as POSCAR:
```
Sc2Re2Te
1.0
-3.7139 5.0461 2.7734
3.7139 -5.0461 2.7734
3.7139 5.0461 -2.7734
Te Sc Re
2 4 4
Cartesian
3.7139 0.0000 0.0241
0.0000 5.0461 0.0241
-0.9328 2.3399 4.1832
2.7811 2.7062 -1.3635
0.9328 2.3399 1.4099
4.6467 2.7062 1.4099
1.0381 0.4744 4.1841
2.6758 5.5204 -1.3626
2.6758 4.5717 1.4108
1.0381 -0.4744 1.4108
```

## Properties
SG	Ibam (72)
electronic total energy	-78.05	eV per cell


Repeat the third record exactly.
Entry from OQMD via LeMat-Bulk: a relaxed structure of Sc2Re2Te (GGA-PBE).

Cell and atoms, written as POSCAR:
```
Sc2Re2Te
1.0
-3.7139 5.0461 2.7734
3.7139 -5.0461 2.7734
3.7139 5.0461 -2.7734
Te Sc Re
2 4 4
Cartesian
3.7139 0.0000 0.0241
0.0000 5.0461 0.0241
-0.9328 2.3399 4.1832
2.7811 2.7062 -1.3635
0.9328 2.3399 1.4099
4.6467 2.7062 1.4099
1.0381 0.4744 4.1841
2.6758 5.5204 -1.3626
2.6758 4.5717 1.4108
1.0381 -0.4744 1.4108
```

## Properties
SG	Ibam (72)
electronic total energy	-78.05	eV per cell